Here is Ta2VPt after structural relaxation from Alexandria via LeMat-Bulk. Energies are from PBE.

Lattice parameters (Å, degrees): 3.8566 3.8566 19.2455 90.00 90.00 90.00
Last column: nearest neighbours and their distance in Å.
Space group I-42d (No. 122)
Asymmetric unit:
Ta 0.2456 0.2500 0.1250 (multiplicity 8)  4 Ta 2.70-2.75, 2 V 2.76, 2 Pt 2.77
V 0.0000 0.0000 0.0000 (multiplicity 4)  4 Pt 2.73, 4 Ta 2.76
Pt 0.0000 0.0000 0.5000 (multiplicity 4)  4 V 2.73, 4 Ta 2.77

Values from the calculation:
Volume   17.89 A^3/atom

---

Here is TaVPt2 after structural relaxation from Alexandria via LeMat-Bulk. Energies are from PBE.

Lattice parameters (Å, degrees): 5.5268 8.0762 2.7681 90.00 90.00 90.00
Last column: nearest neighbours and their distance in Å.
Space group Cmmm (No. 65)
Asymmetric unit:
Ta 0.0000 0.0000 0.0000 (multiplicity 2)  2 V 2.76, 2 Ta 2.77, 8 Pt 2.81
V 0.0000 0.5000 0.0000 (multiplicity 2)  2 Ta 2.76, 2 V 2.77, 8 Pt 2.81
Pt 0.2500 0.2500 0.5000 (multiplicity 4)  4 Pt 2.76-2.77, 4 Ta 2.81, 4 V 2.81

Values from the calculation:
Volume   15.44 A^3/atom

---

Here is TaVPt after structural relaxation from Alexandria via LeMat-Bulk. Energies are from PBE.

Lattice parameters (Å, degrees): 4.4860 4.4860 2.7257 90.00 90.00 120.00
Last column: nearest neighbours and their distance in Å.
Space group P3m1 (No. 156)
Asymmetric unit:
Ta 0.0000 0.0000 0.0000 (multiplicity 1)  3 V 2.70, 2 Ta 2.73, 3 Pt 2.76
V 0.3333 0.6667 0.2862 (multiplicity 1)  3 Ta 2.70, 2 V 2.73, 3 Pt 2.77
Pt 0.6667 0.3333 0.6476 (multiplicity 1)  2 Pt 2.73, 3 Ta 2.76, 3 V 2.77

Values from the calculation:
Volume   15.83 A^3/atom

---

Here is TaVPt2 after structural relaxation from Alexandria via LeMat-Bulk. Energies are from PBE.

Lattice parameters (Å, degrees): 7.0744 7.0744 5.4019 90.00 90.00 90.00
Last column: nearest neighbours and their distance in Å.
Space group I-42d (No. 122)
Asymmetric unit:
Ta 0.0000 0.0000 0.0000 (multiplicity 4)  4 Pt 2.67, 2 V 2.70
V 0.0000 0.0000 0.5000 (multiplicity 4)  4 Pt 2.52, 2 Ta 2.70
Pt 0.2341 0.7500 0.6250 (multiplicity 8)  2 V 2.52, 2 Ta 2.67, 2 Pt 2.71

Values from the calculation:
Volume   16.90 A^3/atom

---

| no. | formation energy (eV per atom) |
| --- | --- |
| 1 | 0.366 |
| 2 | -0.595 |
| 3 | -0.143 |
| 4 | -0.064 |